#P
{"formula": "ReRh3", "functional": "meta-GGA SCAN", "state": "PBEsol geometry", "lattice": [[3.800, 0.000, 0.000], [0.000, 3.825, 0.000], [-1.900, -1.913, 7.539]], "species": ["Re", "Re", "Rh", "Rh", "Rh", "Rh", "Rh", "Rh"], "frac_coords": [[0.188, 0.438, 0.376], [0.812, 0.562, 0.624], [0.067, 0.817, 0.133], [0.933, 0.183, 0.867], [0.689, 0.939, 0.378], [0.562, 0.312, 0.123], [0.438, 0.688, 0.877], [0.311, 0.061, 0.622]], "spacegroup": "No. 74"}

***

#Q
{"formula": "ReRh3", "functional": "meta-GGA SCAN", "state": "PBEsol geometry", "lattice": [[-1.999, -1.373, -1.189], [3.037, -1.716, -3.124], [0.251, -1.830, 4.759]], "species": ["Re", "Rh", "Rh", "Rh"], "frac_coords": [[0.000, 0.000, 0.000], [0.747, 0.411, 0.493], [0.500, 0.505, 0.000], [0.253, 0.918, 0.507]], "spacegroup": "No. 44"}

***

Of them, #Q has the lowest stability.